Material: Li2LaZn
Method: DFT, GGA-PBE
State: optimized geometry

Computed properties:
DOS at the Fermi energy: 0.842 states/eV/atom
E_form: 86 meV per atom
space group: C2/m

The structure in extended XYZ format:
```
4
Lattice="-2.3537 1.2426 -4.5848 -4.1207 -1.6202 4.6749 -1.0525 2.9144 1.1975" Properties=species:S:1:pos:R:3 pbc="T T T"
La -3.2372 -0.1888 0.0451
Li 0.0000 0.0000 0.0000
Li -1.7031 2.0785 -1.6937
Zn -2.5866 0.6471 2.9362
```